The following is a DFT calculation (GGA-PBE) of crystalline CaScTc2 at its relaxed geometry.

It has space group I4/mmm (No. 139), with a = 4.0090 Å, b = 4.0090 Å, c = 9.2123 Å, α = 90.00°, β = 90.00° and γ = 90.00°. The inequivalent atoms are Ca at (0.0000, 0.0000, 0.0000), Sc at (0.0000, 0.0000, 0.5000) and Tc at (0.0000, 0.5000, 0.2500).

The calculation puts the total energy at -26.91 eV/f.u. For the energy above the most stable polymorph in this dataset, the calculation gives 468.5 meV/atom. The calculation puts the formation energy at 0.538 eV/atom. For the density of states at the Fermi level, the calculation gives 12.03 states/eV/cell.

The following is a DFT calculation (GGA-PBE) of crystalline CaSc2Tc at its relaxed geometry.

It has space group C2/m (No. 12), with a = 6.2827 Å, b = 9.8891 Å, c = 3.0564 Å, α = 90.00°, β = 115.17° and γ = 90.00°. The inequivalent atoms are Ca at (0.0000, 0.0000, 0.0000), Sc at (0.2500, 0.2500, 0.5000) and Tc at (0.0000, 0.5000, 0.0000).

The calculation puts the total energy at -23.51 eV/f.u. For the energy above the most stable polymorph in this dataset, the calculation gives 469.0 meV/atom. The calculation puts the formation energy at 0.381 eV/atom. For the density of states at the Fermi level, the calculation gives 8.16 states/eV/cell.

The following is a DFT calculation (GGA-PBE) of crystalline CaScTc at its relaxed geometry.

It has space group P3m1 (No. 156), with a = 4.8288 Å, b = 4.8288 Å, c = 3.1440 Å, α = 90.00°, β = 90.00° and γ = 120.00°. The inequivalent atoms are Ca at (0.0000, 0.0000, 0.0000), Sc at (0.6667, 0.3333, 0.4741) and Tc at (0.3333, 0.6667, 0.5540).

The calculation puts the total energy at -17.67 eV/f.u. For the energy above the most stable polymorph in this dataset, the calculation gives 180.9 meV/atom. The calculation puts the formation energy at 0.342 eV/atom. For the density of states at the Fermi level, the calculation gives 1.52 states/eV/cell.

The following is a DFT calculation (GGA-PBE) of crystalline CaSc2Tc at its relaxed geometry.

It has space group I-4m2 (No. 119), with a = 4.5367 Å, b = 4.5367 Å, c = 8.4213 Å, α = 90.00°, β = 90.00° and γ = 90.00°. The inequivalent atoms are Ca at (0.0000, 0.0000, 0.0000), Sc at (0.0000, 0.0000, 0.5000), Sc at (0.0000, 0.5000, 0.7500) and Tc at (0.0000, 0.5000, 0.2500).

The calculation puts the total energy at -23.76 eV/f.u. For the energy above the most stable polymorph in this dataset, the calculation gives 405.2 meV/atom. The calculation puts the formation energy at 0.317 eV/atom. For the density of states at the Fermi level, the calculation gives 7.62 states/eV/cell.

The following is a DFT calculation (GGA-PBE) of crystalline CaScTc at its relaxed geometry.

It has space group F-43m (No. 216), with a = 6.6283 Å, b = 6.6283 Å, c = 6.6283 Å, α = 90.00°, β = 90.00° and γ = 90.00°. The inequivalent atoms are Ca at (0.0000, 0.0000, 0.0000), Sc at (0.0000, 0.0000, 0.5000) and Tc at (0.2500, 0.2500, 0.7500).

The calculation puts the total energy at -16.88 eV/f.u. For the energy above the most stable polymorph in this dataset, the calculation gives 445.4 meV/atom. The calculation puts the formation energy at 0.607 eV/atom. For the density of states at the Fermi level, the calculation gives 7.12 states/eV/cell.

The following is a DFT calculation (GGA-PBE) of crystalline CaSc2Tc at its relaxed geometry.

It has space group I-42d (No. 122), with a = 7.4774 Å, b = 7.4774 Å, c = 10.6674 Å, α = 90.00°, β = 90.00° and γ = 90.00°. The inequivalent atoms are Ca at (0.0000, 0.0000, 0.0000), Sc at (0.0028, 0.2500, 0.6250) and Tc at (0.0000, 0.0000, 0.5000).

The calculation puts the total energy at -22.06 eV/f.u. For the energy above the most stable polymorph in this dataset, the calculation gives 831.3 meV/atom. The calculation puts the formation energy at 0.743 eV/atom. For the density of states at the Fermi level, the calculation gives 11.04 states/eV/cell.

The following is a DFT calculation (GGA-PBE) of crystalline CaScTc2 at its relaxed geometry.

It has space group P4/mmm (No. 123), with a = 2.8270 Å, b = 2.8270 Å, c = 9.2899 Å, α = 90.00°, β = 90.00° and γ = 90.00°. The inequivalent atoms are Ca at (0.0000, 0.0000, 0.0000), Sc at (0.0000, 0.0000, 0.5000) and Tc at (0.5000, 0.5000, 0.2667).

The calculation puts the total energy at -27.26 eV/f.u. For the energy above the most stable polymorph in this dataset, the calculation gives 381.9 meV/atom. The calculation puts the formation energy at 0.452 eV/atom. For the density of states at the Fermi level, the calculation gives 4.61 states/eV/cell.

The following is a DFT calculation (GGA-PBE) of crystalline CaSc2Tc at its relaxed geometry.

It has space group C2/m (No. 12), with a = 7.6887 Å, b = 3.3048 Å, c = 7.9982 Å, α = 90.00°, β = 95.61° and γ = 90.00°. The inequivalent atoms are Ca at (0.0000, 0.0000, 0.0000), Sc at (0.2264, 0.0000, 0.6680) and Tc at (0.0000, 0.5000, 0.5000).

The calculation puts the total energy at -24.47 eV/f.u. For the energy above the most stable polymorph in this dataset, the calculation gives 228.1 meV/atom. The calculation puts the formation energy at 0.140 eV/atom. For the density of states at the Fermi level, the calculation gives 5.99 states/eV/cell.

Which value of energy above the most stable polymorph in this dataset does entry 1 give? 468.5 meV/atom